(1)
# DyInPt2 (PBE, relaxed)
data_DyInPt2
_chemical_formula_sum 'Dy2 In2 Pt4'
_symmetry_space_group_name_H-M 'P 63/m m c'
_symmetry_Int_Tables_number 194
_symmetry_space_group_name_Hall '-P 6c 2c'
_cell_length_a 4.5837
_cell_length_b 4.5837
_cell_length_c 9.0300
_cell_angle_alpha 90.00
_cell_angle_beta 90.00
_cell_angle_gamma 120.00
loop_
_atom_site_label
_atom_site_type_symbol
_atom_site_fract_x
_atom_site_fract_y
_atom_site_fract_z
Dy1 Dy 0.3333 0.6667 0.2500
In1 In 0.0000 0.0000 0.0000
Pt1 Pt 0.3333 0.6667 0.5912
# size of the total moment	0.00	μB per atom
# energy of formation from the pure elements	-3.913	eV per formula unit

=====

(2)
# DyInPt2 (PBE, relaxed)
data_DyInPt2
_chemical_formula_sum 'Dy2 In2 Pt4'
_symmetry_space_group_name_H-M 'P 1 21/m 1'
_symmetry_Int_Tables_number 11
_symmetry_space_group_name_Hall '-P 2yb'
_cell_length_a 5.668
_cell_length_b 4.442
_cell_length_c 6.941
_cell_angle_alpha 90.00
_cell_angle_beta 110.43
_cell_angle_gamma 90.00
loop_
_atom_site_label
_atom_site_type_symbol
_atom_site_fract_x
_atom_site_fract_y
_atom_site_fract_z
Dy1 Dy 0.227 0.250 0.428
In1 In 0.181 0.250 0.910
Pt1 Pt 0.332 0.750 0.731
Pt2 Pt 0.337 0.750 0.181
# size of the total moment	0.00	μB per atom
# energy of formation from the pure elements	-3.764	eV per formula unit

=====

(3)
# DyInPt3 (PBE, relaxed)
data_DyInPt3
_chemical_formula_sum 'Dy4 In4 Pt12'
_symmetry_space_group_name_H-M 'I m m a'
_symmetry_Int_Tables_number 74
_symmetry_space_group_name_Hall '-I 2b 2'
_cell_length_a 5.773
_cell_length_b 11.829
_cell_length_c 6.770
_cell_angle_alpha 90.00
_cell_angle_beta 90.00
_cell_angle_gamma 90.00
loop_
_atom_site_label
_atom_site_type_symbol
_atom_site_fract_x
_atom_site_fract_y
_atom_site_fract_z
Dy1 Dy 0.000 0.250 0.058
In1 In 0.000 0.000 0.500
Pt1 Pt 0.000 0.250 0.475
Pt2 Pt 0.250 0.125 0.750
# size of the total moment	0.00	μB per atom
# energy of formation from the pure elements	-3.106	eV per formula unit

=====

(4)
# Dy11In9Pt4 (PBE, relaxed)
data_Dy11In9Pt4
_chemical_formula_sum 'Dy22 In18 Pt8'
_symmetry_space_group_name_H-M 'C m m m'
_symmetry_Int_Tables_number 65
_symmetry_space_group_name_Hall '-C 2 2'
_cell_length_a 14.667
_cell_length_b 22.045
_cell_length_c 3.672
_cell_angle_alpha 90.00
_cell_angle_beta 90.00
_cell_angle_gamma 90.00
loop_
_atom_site_label
_atom_site_type_symbol
_atom_site_fract_x
_atom_site_fract_y
_atom_site_fract_z
Dy1 Dy 0.000 0.000 0.000
Dy2 Dy 0.000 0.160 0.000
Dy3 Dy 0.000 0.373 0.000
Dy4 Dy 0.191 0.500 0.000
Dy5 Dy 0.244 0.170 0.000
In1 In 0.000 0.500 0.500
In2 In 0.105 0.261 0.500
In3 In 0.143 0.072 0.500
Pt1 Pt 0.153 0.399 0.500
# size of the total moment	0.00	μB per atom
# energy of formation from the pure elements	-19.122	eV per formula unit

=====

(5)
# Dy3InPt2 (PBE, relaxed)
data_Dy3InPt2
_chemical_formula_sum 'Dy3 In1 Pt2'
_symmetry_space_group_name_H-M 'P 4/m m m'
_symmetry_Int_Tables_number 123
_symmetry_space_group_name_Hall '-P 4 2'
_cell_length_a 3.532
_cell_length_b 3.532
_cell_length_c 11.150
_cell_angle_alpha 90.00
_cell_angle_beta 90.00
_cell_angle_gamma 90.00
loop_
_atom_site_label
_atom_site_type_symbol
_atom_site_fract_x
_atom_site_fract_y
_atom_site_fract_z
Dy1 Dy 0.000 0.000 0.000
Dy2 Dy 0.000 0.000 0.306
In1 In 0.500 0.500 0.500
Pt1 Pt 0.500 0.500 0.160
# size of the total moment	0.00	μB per atom
# energy of formation from the pure elements	-5.891	eV per formula unit

=====

(6)
# DyIn7Pt2 (PBE, relaxed)
data_DyIn7Pt2
_chemical_formula_sum 'Dy2 In14 Pt4'
_symmetry_space_group_name_H-M 'C 1 2/m 1'
_symmetry_Int_Tables_number 12
_symmetry_space_group_name_Hall '-C 2y'
_cell_length_a 6.412
_cell_length_b 6.412
_cell_length_c 11.999
_cell_angle_alpha 90.00
_cell_angle_beta 105.21
_cell_angle_gamma 90.00
loop_
_atom_site_label
_atom_site_type_symbol
_atom_site_fract_x
_atom_site_fract_y
_atom_site_fract_z
Dy1 Dy 0.000 0.000 0.000
In1 In 0.000 0.249 0.500
In2 In 0.000 0.500 0.000
In3 In 0.143 0.251 0.786
Pt1 Pt 0.180 0.500 0.361
# size of the total moment	0.00	μB per atom
# energy of formation from the pure elements	-4.084	eV per formula unit

=====

(7)
# Dy2InPt (PBE, relaxed)
data_Dy2InPt
_chemical_formula_sum 'Dy2 In1 Pt1'
_symmetry_space_group_name_H-M 'P 4/m m m'
_symmetry_Int_Tables_number 123
_symmetry_space_group_name_Hall '-P 4 2'
_cell_length_a 3.517
_cell_length_b 3.517
_cell_length_c 7.774
_cell_angle_alpha 90.00
_cell_angle_beta 90.00
_cell_angle_gamma 90.00
loop_
_atom_site_label
_atom_site_type_symbol
_atom_site_fract_x
_atom_site_fract_y
_atom_site_fract_z
Dy1 Dy 0.000 0.000 0.219
In1 In 0.500 0.500 0.500
Pt1 Pt 0.500 0.500 0.000
# size of the total moment	0.00	μB per atom
# energy of formation from the pure elements	-3.423	eV per formula unit
# polymorph energy (0 for the lowest one)	0.000	eV per atom

=====

(8)
# DyIn2Pt (PBE, relaxed)
data_DyIn2Pt
_chemical_formula_sum 'Dy1 In2 Pt1'
_symmetry_space_group_name_H-M 'P 4/m m m'
_symmetry_Int_Tables_number 123
_symmetry_space_group_name_Hall '-P 4 2'
_cell_length_a 4.322
_cell_length_b 4.322
_cell_length_c 4.723
_cell_angle_alpha 90.00
_cell_angle_beta 90.00
_cell_angle_gamma 90.00
loop_
_atom_site_label
_atom_site_type_symbol
_atom_site_fract_x
_atom_site_fract_y
_atom_site_fract_z
Dy1 Dy 0.000 0.000 0.000
In1 In 0.000 0.500 0.500
Pt1 Pt 0.500 0.500 0.000
# size of the total moment	0.00	μB per atom
# energy of formation from the pure elements	-2.269	eV per formula unit

=====

(9)
# Dy2InPt9 (PBE, relaxed)
data_Dy2InPt9
_chemical_formula_sum 'Dy2 In1 Pt9'
_symmetry_space_group_name_H-M 'P 4/m m m'
_symmetry_Int_Tables_number 123
_symmetry_space_group_name_Hall '-P 4 2'
_cell_length_a 4.102
_cell_length_b 4.102
_cell_length_c 12.261
_cell_angle_alpha 90.00
_cell_angle_beta 90.00
_cell_angle_gamma 90.00
loop_
_atom_site_label
_atom_site_type_symbol
_atom_site_fract_x
_atom_site_fract_y
_atom_site_fract_z
Dy1 Dy 0.000 0.000 0.168
In1 In 0.000 0.000 0.500
Pt1 Pt 0.000 0.500 0.000
Pt2 Pt 0.000 0.500 0.337
Pt3 Pt 0.500 0.500 0.169
Pt4 Pt 0.500 0.500 0.500
# size of the total moment	0.00	μB per atom
# energy of formation from the pure elements	-9.741	eV per formula unit

=====

(10)
# DyIn4Pt2 (PBE, relaxed)
data_DyIn4Pt2
_chemical_formula_sum 'Dy4 In16 Pt8'
_symmetry_space_group_name_H-M 'P n m a'
_symmetry_Int_Tables_number 62
_symmetry_space_group_name_Hall '-P 2ac 2n'
_cell_length_a 18.540
_cell_length_b 4.438
_cell_length_c 7.414
_cell_angle_alpha 90.00
_cell_angle_beta 90.00
_cell_angle_gamma 90.00
loop_
_atom_site_label
_atom_site_type_symbol
_atom_site_fract_x
_atom_site_fract_y
_atom_site_fract_z
Dy1 Dy 0.144 0.250 0.053
In1 In 0.034 0.750 0.864
In2 In 0.069 0.250 0.502
In3 In 0.187 0.750 0.347
In4 In 0.189 0.750 0.760
Pt1 Pt 0.045 0.750 0.250
Pt2 Pt 0.220 0.250 0.555
# size of the total moment	0.00	μB per atom
# energy of formation from the pure elements	-4.296	eV per formula unit

=====

(11)
# DyInPt6 (PBE, relaxed)
data_DyInPt6
_chemical_formula_sum 'Dy1 In1 Pt6'
_symmetry_space_group_name_H-M 'P 4/m m m'
_symmetry_Int_Tables_number 123
_symmetry_space_group_name_Hall '-P 4 2'
_cell_length_a 4.095
_cell_length_b 4.095
_cell_length_c 8.139
_cell_angle_alpha 90.00
_cell_angle_beta 90.00
_cell_angle_gamma 90.00
loop_
_atom_site_label
_atom_site_type_symbol
_atom_site_fract_x
_atom_site_fract_y
_atom_site_fract_z
Dy1 Dy 0.000 0.000 0.000
In1 In 0.000 0.000 0.500
Pt1 Pt 0.000 0.500 0.255
Pt2 Pt 0.500 0.500 0.000
Pt3 Pt 0.500 0.500 0.500
# size of the total moment	0.00	μB per atom
# energy of formation from the pure elements	-5.645	eV per formula unit